{
  "formula": "PuGeCl2",
  "functional": "GGA-PBE",
  "state": "relaxed",
  "total_magnetization_mub_per_fu": 5.950,
  "formation_energy_uncorrected_ev_per_atom": -0.4094,
  "cell": [[-3.217, -1.109, 0.519], [-1.396, -2.299, -2.148], [1.931, -8.545, 5.132]],
  "species": ["Ge", "Cl", "Pu", "Cl"],
  "fractional_positions": [[0.500, 0.500, 0.500], [0.088, 0.088, 0.736], [0.000, 0.000, 0.000], [0.912, 0.912, 0.264]]
}

***

{
  "formula": "Pu2GeCl",
  "functional": "GGA-PBE",
  "state": "relaxed",
  "total_magnetization_mub_per_fu": 12.166,
  "formation_energy_uncorrected_ev_per_atom": -0.7536,
  "e_above_lowest_polymorph_ev_per_fu": 0.07,
  "cell": [[3.366, 0.000, 0.000], [0.000, 3.366, 0.000], [0.000, 0.000, 7.997]],
  "species": ["Ge", "Pu", "Pu", "Cl"],
  "fractional_positions": [[0.500, 0.500, 0.500], [0.000, 0.000, 0.262], [0.000, 0.000, 0.738], [0.500, 0.500, 0.000]]
}

***

{
  "formula": "Pu5Ge4Cl",
  "functional": "GGA-PBE",
  "state": "relaxed",
  "total_magnetization_mub_per_fu": 17.888,
  "formation_energy_uncorrected_ev_per_atom": -0.5178,
  "cell": [[-0.441, -3.161, -2.085], [-1.848, -1.653, 2.896], [-13.242, 5.393, -5.374]],
  "species": ["Pu", "Ge", "Pu", "Ge", "Pu", "Ge", "Cl", "Ge", "Pu", "Pu"],
  "fractional_positions": [[0.500, 0.500, 0.878], [0.000, 0.000, 0.776], [0.500, 0.500, 0.500], [0.000, 0.000, 0.593], [0.500, 0.500, 0.320], [0.000, 0.000, 0.224], [0.000, 0.000, 0.000], [0.000, 0.000, 0.407], [0.500, 0.500, 0.122], [0.500, 0.500, 0.680]]
}

***

{
  "formula": "Pu2GeCl",
  "functional": "GGA-PBE",
  "state": "relaxed",
  "total_magnetization_mub_per_fu": 0.400,
  "formation_energy_uncorrected_ev_per_atom": -0.7166,
  "e_above_lowest_polymorph_ev_per_fu": 0.21,
  "cell": [[4.895, 0.000, 0.000], [-2.448, 4.240, 0.000], [0.000, 0.000, 9.135]],
  "species": ["Cl", "Pu", "Pu", "Cl", "Pu", "Ge", "Pu", "Ge"],
  "fractional_positions": [[0.333, 0.667, 0.602], [0.667, 0.333, 0.715], [0.667, 0.333, 0.991], [0.667, 0.333, 0.398], [0.333, 0.667, 0.009], [0.000, 0.000, 0.143], [0.333, 0.667, 0.285], [0.000, 0.000, 0.857]]
}

***

{
  "formula": "Rb2PuGeCl6",
  "functional": "GGA-PBE",
  "state": "relaxed",
  "total_magnetization_mub_per_fu": 6.000,
  "formation_energy_uncorrected_ev_per_atom": -1.5421,
  "cell": [[7.751, 0.000, 0.000], [0.000, 7.763, 0.000], [0.000, 0.000, 10.975]],
  "species": ["Rb", "Pu", "Cl", "Cl", "Cl", "Ge", "Pu", "Cl", "Rb", "Cl", "Rb", "Cl", "Cl", "Cl", "Cl", "Cl", "Cl", "Ge", "Cl", "Rb"],
  "fractional_positions": [[0.000, 0.244, 0.252], [0.500, 0.252, 0.000], [0.253, 0.000, 0.500], [0.000, 0.752, 0.752], [0.751, 0.506, 0.000], [0.500, 0.249, 0.500], [0.000, 0.748, 0.500], [0.500, 0.248, 0.252], [0.500, 0.756, 0.248], [0.749, 0.494, 0.500], [0.000, 0.244, 0.748], [0.747, 0.000, 0.500], [0.249, 0.506, 0.000], [0.251, 0.494, 0.500], [0.247, 0.000, 0.000], [0.000, 0.752, 0.248], [0.500, 0.248, 0.748], [0.000, 0.751, 0.000], [0.753, 0.000, 0.000], [0.500, 0.756, 0.752]]
}

***

{
  "formula": "RbPuGe2Cl8",
  "functional": "GGA-PBE",
  "state": "relaxed",
  "total_magnetization_mub_per_fu": 5.000,
  "formation_energy_uncorrected_ev_per_atom": -1.3496,
  "cell": [[-3.495, 5.352, 2.956], [-4.301, -3.685, 2.847], [5.278, -0.193, 7.761]],
  "species": ["Cl", "Cl", "Cl", "Cl", "Cl", "Ge", "Ge", "Cl", "Rb", "Cl", "Cl", "Pu"],
  "fractional_positions": [[0.635, 0.725, 0.420], [0.193, 0.787, 0.201], [0.138, 0.727, 0.787], [0.317, 0.237, 0.959], [0.807, 0.213, 0.799], [0.550, 0.542, 0.227], [0.450, 0.458, 0.773], [0.683, 0.763, 0.041], [0.000, 0.000, 0.500], [0.365, 0.275, 0.580], [0.862, 0.273, 0.213], [0.000, 0.000, 0.000]]
}

***

{
  "formula": "Rb3GeCl6",
  "functional": "GGA-PBE",
  "state": "relaxed",
  "total_magnetization_mub_per_fu": 1.061,
  "formation_energy_uncorrected_ev_per_atom": -1.4204,
  "e_above_lowest_polymorph_ev_per_fu": 0.08,
  "cell": [[-7.586, -0.058, 2.676], [3.131, -4.490, 8.777], [0.762, 10.037, 2.378]],
  "species": ["Cl", "Cl", "Rb", "Rb", "Cl", "Rb", "Rb", "Cl", "Ge", "Cl", "Rb", "Cl", "Cl", "Cl", "Cl", "Cl", "Rb", "Ge", "Cl", "Cl"],
  "fractional_positions": [[0.244, 0.818, 0.182], [0.167, 0.115, 0.607], [0.972, 0.700, 0.896], [0.472, 0.896, 0.700], [0.181, 0.359, 0.305], [0.402, 0.427, 0.573], [0.472, 0.300, 0.104], [0.657, 0.942, 0.058], [0.041, 0.190, 0.810], [0.167, 0.393, 0.885], [0.972, 0.104, 0.300], [0.667, 0.607, 0.115], [0.667, 0.885, 0.393], [0.157, 0.058, 0.942], [0.681, 0.305, 0.359], [0.681, 0.641, 0.695], [0.902, 0.573, 0.427], [0.541, 0.810, 0.190], [0.181, 0.695, 0.641], [0.744, 0.182, 0.818]]
}

***

{
  "formula": "RbGe3Cl",
  "functional": "GGA-PBE",
  "state": "relaxed",
  "total_magnetization_mub_per_fu": 0.000,
  "formation_energy_uncorrected_ev_per_atom": 0.5452,
  "e_above_lowest_polymorph_ev_per_fu": 0.00,
  "cell": [[-0.771, 4.903, -1.753], [-3.220, -1.842, -3.735], [-4.092, 0.525, 3.269]],
  "species": ["Cl", "Rb", "Ge", "Ge", "Ge"],
  "fractional_positions": [[0.000, 0.000, 0.000], [0.500, 0.500, 0.500], [0.000, 0.000, 0.500], [0.500, 0.000, 0.000], [0.000, 0.500, 0.000]]
}

***

{
  "formula": "RbGeCl3",
  "functional": "GGA-PBE",
  "state": "relaxed",
  "total_magnetization_mub_per_fu": 0.000,
  "formation_energy_uncorrected_ev_per_atom": -1.3276,
  "cell": [[-5.178, -0.906, -5.015], [5.733, -3.898, -5.215], [-5.408, -7.669, 6.969]],
  "species": ["Cl", "Ge", "Rb", "Rb", "Cl", "Cl", "Cl", "Cl", "Cl", "Cl", "Cl", "Cl", "Rb", "Ge", "Cl", "Cl", "Ge", "Cl", "Ge", "Rb"],
  "fractional_positions": [[0.514, 0.723, 0.422], [0.727, 0.093, 0.969], [0.229, 0.486, 0.178], [0.771, 0.514, 0.822], [0.014, 0.777, 0.078], [0.493, 0.736, 0.073], [0.507, 0.264, 0.927], [0.295, 0.122, 0.227], [0.486, 0.277, 0.578], [0.795, 0.378, 0.273], [0.007, 0.236, 0.573], [0.986, 0.223, 0.922], [0.729, 0.014, 0.322], [0.227, 0.407, 0.531], [0.205, 0.622, 0.727], [0.993, 0.764, 0.427], [0.273, 0.907, 0.031], [0.705, 0.878, 0.773], [0.773, 0.593, 0.469], [0.271, 0.986, 0.678]]
}

***

{
  "formula": "RbGe2Cl6",
  "functional": "GGA-PBE",
  "state": "relaxed",
  "total_magnetization_mub_per_fu": 0.000,
  "formation_energy_uncorrected_ev_per_atom": -1.0513,
  "cell": [[-3.673, 2.840, 1.494], [-4.230, -3.481, 4.178], [2.692, 2.674, 9.499]],
  "species": ["Cl", "Cl", "Ge", "Rb", "Cl", "Ge", "Cl", "Cl", "Cl"],
  "fractional_positions": [[0.306, 0.779, 0.609], [0.986, 0.839, 0.189], [0.821, 0.197, 0.161], [0.000, 0.500, 0.500], [0.694, 0.221, 0.391], [0.179, 0.803, 0.839], [0.306, 0.273, 0.114], [0.694, 0.727, 0.886], [0.014, 0.161, 0.811]]
}

***

{
  "formula": "Rb4Ge3Cl10",
  "functional": "GGA-PBE",
  "state": "relaxed",
  "total_magnetization_mub_per_fu": 0.000,
  "formation_energy_uncorrected_ev_per_atom": -1.3711,
  "cell": [[-2.881, -3.983, 1.983], [2.847, 0.164, 4.467], [-12.128, 14.322, 4.060]],
  "species": ["Rb", "Ge", "Rb", "Cl", "Rb", "Cl", "Cl", "Cl", "Cl", "Rb", "Cl", "Cl", "Ge", "Cl", "Cl", "Cl", "Ge"],
  "fractional_positions": [[0.433, 0.433, 0.865], [0.143, 0.143, 0.286], [0.700, 0.700, 0.400], [0.930, 0.930, 0.860], [0.567, 0.567, 0.135], [0.141, 0.641, 0.282], [0.859, 0.359, 0.718], [0.070, 0.070, 0.140], [0.359, 0.859, 0.718], [0.300, 0.300, 0.600], [0.000, 0.500, 0.000], [0.641, 0.141, 0.282], [0.857, 0.857, 0.714], [0.788, 0.788, 0.577], [0.212, 0.212, 0.423], [0.500, 0.000, 0.000], [0.000, 0.000, 0.000]]
}

***

{
  "formula": "Rb2GeCl",
  "functional": "GGA-PBE",
  "state": "relaxed",
  "total_magnetization_mub_per_fu": 3.000,
  "formation_energy_uncorrected_ev_per_atom": -0.4976,
  "cell": [[-2.228, -5.368, -6.810], [7.201, -5.062, 1.634], [-0.323, -8.164, 0.656]],
  "species": ["Rb", "Rb", "Rb", "Cl", "Ge", "Rb", "Cl", "Ge"],
  "fractional_positions": [[0.165, 0.625, 0.250], [0.875, 0.835, 0.750], [0.375, 0.415, 0.750], [0.250, 0.750, 0.500], [0.000, 0.000, 0.000], [0.585, 0.125, 0.250], [0.500, 0.500, 0.000], [0.750, 0.250, 0.500]]
}